NbPPd (PBE, relaxed); mass density = 7225 kg/m³; SG = Fddd; M_tot = 0.00 μB/f.u.; calculated formation energy = -0.458 eV/atom
1.0
-1.509 1.756 5.463
0.818 -5.566 1.886
6.108 3.155 -2.485
P Nb Pd
4 4 4
Direct
0.790 0.210 0.000
0.210 0.790 0.000
0.040 0.960 0.500
0.460 0.540 0.500
0.141 0.141 0.282
0.859 0.859 0.718
0.109 0.609 0.218
0.391 0.891 0.782
0.625 0.375 0.750
0.625 0.875 0.250
0.125 0.375 0.750
0.625 0.375 0.250